# 1
# ScRePS2

A relaxed ScRePS2 crystal (PBEsol, Alexandria via LeMat-Bulk).

The structure in POSCAR format:
```
ScRePS2
1.0
-3.174 -2.682 2.176
-0.851 -2.257 -4.024
3.531 -3.288 1.097
S Sc Re P
2 1 1 1
direct
0.500 0.000 0.000 S
0.000 0.500 0.000 S
0.000 0.000 0.000 Sc
0.500 0.500 0.500 Re
0.000 0.000 0.500 P
```

Summary:
- magnetic moment (μB/f.u.) = 3.406
- final energy (eV per cell) = -29.8
- formation energy (no corrections) (eV per atom) = 0.947
- V (Å³/cell) = 109

***

# 2
# SrReP2S

A relaxed SrReP2S crystal (PBEsol, Alexandria via LeMat-Bulk).

The structure in POSCAR format:
```
SrReP2S
1.0
5.183 0.000 0.000
0.000 5.244 0.000
0.000 0.000 5.244
P Sr Re S
2 1 1 1
direct
0.000 0.000 0.500 P
0.000 0.500 0.000 P
0.000 0.000 0.000 Sr
0.500 0.500 0.500 Re
0.500 0.000 0.000 S
```

Summary:
- magnetic moment (μB/f.u.) = 3.731
- final energy (eV per cell) = -20.3
- formation energy (no corrections) (eV per atom) = 2.170
- V (Å³/cell) = 143

***

# 3
# TaReP2S

A relaxed TaReP2S crystal (PBEsol, Alexandria via LeMat-Bulk).

The structure in POSCAR format:
```
TaReP2S
1.0
4.497 0.000 0.000
0.000 4.568 0.000
0.000 0.000 4.568
P Re Ta S
2 1 1 1
direct
0.000 0.500 0.000 P
0.000 0.000 0.500 P
0.000 0.000 0.000 Re
0.500 0.500 0.500 Ta
0.500 0.000 0.000 S
```

Summary:
- magnetic moment (μB/f.u.) = 2.269
- final energy (eV per cell) = -36.6
- formation energy (no corrections) (eV per atom) = 1.052
- V (Å³/cell) = 94

***

# 4
# ReTeP2S

A relaxed ReTeP2S crystal (PBEsol, Alexandria via LeMat-Bulk).

The structure in POSCAR format:
```
ReTeP2S
1.0
-1.285 4.127 -0.854
-3.290 -1.641 -2.978
-3.108 -0.231 3.560
P S Te Re
2 1 1 1
direct
0.000 0.000 0.500 P
0.000 0.500 0.000 P
0.500 0.000 0.000 S
0.500 0.500 0.500 Te
0.000 0.000 0.000 Re
```

Summary:
- magnetic moment (μB/f.u.) = 0.001
- final energy (eV per cell) = -30.7
- formation energy (no corrections) (eV per atom) = 0.416
- V (Å³/cell) = 99

***

# 5
# YRePS2

A relaxed YRePS2 crystal (PBEsol, Alexandria via LeMat-Bulk).

The structure in POSCAR format:
```
YRePS2
1.0
-2.227 3.900 0.626
-1.155 0.065 -4.516
-3.893 -2.377 0.961
P S Re Y
1 2 1 1
direct
0.500 0.000 0.000 P
0.000 0.500 0.000 S
0.000 0.000 0.500 S
0.000 0.000 0.000 Re
0.500 0.500 0.500 Y
```

Summary:
- magnetic moment (μB/f.u.) = 0.000
- final energy (eV per cell) = -36.1
- formation energy (no corrections) (eV per atom) = -0.282
- V (Å³/cell) = 99

***

# 6
# YReP2S

A relaxed YReP2S crystal (PBEsol, Alexandria via LeMat-Bulk).

The structure in POSCAR format:
```
YReP2S
1.0
-4.598 -0.951 1.575
1.912 -2.555 4.038
0.037 4.357 2.739
Y P Re S
1 2 1 1
direct
0.000 0.000 0.000 Y
0.000 0.000 0.500 P
0.000 0.500 0.000 P
0.500 0.500 0.500 Re
0.500 0.000 0.000 S
```

Summary:
- magnetic moment (μB/f.u.) = 3.632
- final energy (eV per cell) = -28.6
- formation energy (no corrections) (eV per atom) = 1.504
- V (Å³/cell) = 131